FePIrCl2 | PBE-GGA | relaxed

Cell lengths 4.9841, 4.9841, 4.4703 Å; angles 90.00, 90.00, 90.00 degrees
Space group P4/mmm (No. 123)
Unique sites:
Fe 0.0000 0.0000 0.0000 (multiplicity 1)
P 0.5000 0.5000 0.0000 (multiplicity 1)
Ir 0.5000 0.5000 0.5000 (multiplicity 1)
Cl 0.0000 0.5000 0.5000 (multiplicity 2)

Calculated values
Magnetic moment = 3.8 Bohr magnetons per cell
Relative energy among the computed polymorphs = 0.00 eV/f.u.
Density = 5.23 Mg/m³
Energy = -4.5867 eV/atom
Uncorrected formation energy = 699 meV per atom